[1]
Entry from Alexandria: an optimized crystal structure of Ac2PmSn2 (GGA-PBE).

The structure in extended XYZ format:
```
10
Lattice="2.6428 -9.7954 0.0000 2.6428 9.7954 0.0000 0.0000 0.0000 6.9993" Properties=species:S:1:pos:R:3 pbc="T T T"
Ac 2.6428 9.7851 3.4996
Ac 2.6428 5.9654 5.2613
Ac 2.6428 -5.9654 1.7616
Ac 2.6428 -9.7851 0.0000
Pm 2.6428 1.9748 5.2442
Pm 2.6428 -1.9748 1.7445
Sn 2.6428 6.2156 1.7598
Sn 2.6428 1.4599 1.7526
Sn 2.6428 -1.4599 5.2522
Sn 2.6428 -6.2156 5.2595
```

Properties
Its symmetry is Cmc2_1. Its density of states at the Fermi level is 3.7 states/eV/f.u. The calculation puts the calculated density at 7665 kg/m3. The calculation puts the total DFT energy (no corrections) at -4.7865 eV/atom. The value obtained for the calculated formation energy is -0.592 eV/atom. The calculation puts the energy above the most stable polymorph in this dataset at 46.6 meV per atom.

[2]
Entry from Alexandria: an optimized crystal structure of TlPdF3 (GGA-PBE).

The structure in extended XYZ format:
```
10
Lattice="-2.4067 2.4067 8.0672 2.4067 -2.4067 8.0672 2.4067 2.4067 -8.0672" Properties=species:S:1:pos:R:3 pbc="T T T"
Tl 0.0000 0.0000 0.0000
Tl 0.0000 2.4067 4.0336
Pd 2.4067 0.0000 2.7064
Pd 2.4067 0.0000 5.3609
F 0.0000 0.0000 4.9409
F 0.0000 1.1720 2.2635
F 0.0000 0.0000 11.1936
F -1.2347 2.4067 5.8037
F 1.2347 2.4067 5.8037
F 0.0000 3.6414 2.2635
```

Properties
Its symmetry is I-4m2. Its density of states at the Fermi level is 2.4 states/eV/f.u. The calculation puts the calculated density at 6535 kg/m3. The calculation puts the total DFT energy (no corrections) at -3.6471 eV/atom. The calculation puts the energy above the most stable polymorph in this dataset at 427.7 meV per atom.

Question: Look up the energy above the most stable polymorph in this dataset of the first one.
Answer: 46.6 meV per atom